VASP calculation (PBE) on crystalline ZnAu3 at its relaxed geometry.

Cell lengths 2.995, 2.995, 8.955 Å; angles 90.00, 90.00, 120.00 degrees
Fractional positions:
Au: 0.333 0.667 0.250
Au: 0.000 0.000 0.981
Au: 0.000 0.000 0.519
Zn: 0.333 0.667 0.750

Computed properties:
The value obtained for the magnetization is 0.00 μB per formula unit. As for the raw total energy: -2.843 eV per atom. Its symmetry is No. 187. The calculation puts the formation energy at -6 kJ/mol of atoms. For the density of states at the Fermi level, the calculation gives 0.63 states/eV per atom.